The following is a PBE-GGA calculation of a geometry-optimized Mg6SnBiO8 structure, from the Alexandria database.

Output
Total magnetization: 0.00 μB per cell
Raw total energy: -87.9 eV/cell
Offset from the most stable computed form: 0.0 meV/atom
SG: P4/mmm, No. 123
DOS(E_F): 2.09 states/eV/cell
Crystal system: tetragonal
E_form (uncorrected): -1.92 eV per atom

Unit cell a=4.610 b=4.610 c=9.358 alpha=90.00 beta=90.00 gamma=90.00
Atoms (fractional coordinates):
Mg: 0.000 0.000 0.500
Mg: 0.500 0.500 0.500
Mg: 0.000 0.500 0.281
Mg: 0.000 0.500 0.719
Mg: 0.500 0.000 0.281
Mg: 0.500 0.000 0.719
Sn: 0.000 0.000 0.000
Bi: 0.500 0.500 0.000
O: 0.000 0.000 0.279
O: 0.000 0.000 0.721
O: 0.500 0.500 0.282
O: 0.500 0.500 0.718
O: 0.000 0.500 0.000
O: 0.000 0.500 0.500
O: 0.500 0.000 0.000
O: 0.500 0.000 0.500

***

The following is a PBE-GGA calculation of a geometry-optimized Fe2MoAs2 structure, from the Alexandria database.

Output
Total magnetization: 6.24 μB per cell
Raw total energy: -73.3 eV/cell
SG: P4/mbm, No. 127
Energy relative to the elements: 77 meV/atom
DOS(E_F): 10.69 states/eV/cell
Crystal system: tetragonal

Unit cell a=6.871 b=6.871 c=2.908 alpha=90.00 beta=90.00 gamma=90.00
Atoms (fractional coordinates):
Mo: 0.000 0.000 0.000
Mo: 0.500 0.500 0.000
As: 0.343 0.843 0.000
As: 0.843 0.657 0.000
As: 0.657 0.157 0.000
As: 0.157 0.343 0.000
Fe: 0.139 0.639 0.500
Fe: 0.639 0.861 0.500
Fe: 0.861 0.361 0.500
Fe: 0.361 0.139 0.500

***

The following is a PBE-GGA calculation of a geometry-optimized As2HPdSe structure, from the Alexandria database.

Output
Total magnetization: 0.00 μB per cell
Raw total energy: -18.9 eV/cell
Offset from the most stable computed form: 0.0 meV/atom
SG: P4/mmm, No. 123
DOS(E_F): 2.93 states/eV/cell
Crystal system: tetragonal

Unit cell a=3.952 b=3.952 c=5.083 alpha=90.00 beta=90.00 gamma=90.00
Atoms (fractional coordinates):
H: 0.000 0.000 0.000
As: 0.000 0.500 0.000
As: 0.500 0.000 0.000
Se: 0.000 0.000 0.500
Pd: 0.500 0.500 0.500